A plane-wave DFT calculation with PBE-GGA was carried out for SrFePt3 after structural relaxation.

Structure (extended XYZ):
```
5
Lattice="4.7446 0.0000 0.0000 0.0000 4.7446 0.0000 0.0000 0.0000 4.7446" Properties=species:S:1:pos:R:3 pbc="T T T"
Sr 0.0000 0.0000 0.0000
Fe 2.3723 2.3723 2.3723
Pt 0.0000 2.3723 2.3723
Pt 2.3723 0.0000 2.3723
Pt 2.3723 2.3723 0.0000
```

* total energy: -0.416 Ry/atom
* offset from the most stable computed form: 0.000 eV/f.u.
* Fermi-level density of states: 3.54 states/eV/cell
* formation enthalpy at 0 K: -0.012 eV per atom
* volume: 21.36 Å³/atom
* spin magnetization: 3.69 Bohr magnetons per cell

A plane-wave DFT calculation with PBE-GGA was carried out for SrFe2Pt after structural relaxation.

Structure (extended XYZ):
```
4
Lattice="3.0832 0.0000 0.0000 0.0000 4.5976 0.0000 -0.9190 0.0000 5.6397" Properties=species:S:1:pos:R:3 pbc="T T T"
Sr 0.0000 0.0000 0.0000
Fe 0.3309 2.2988 3.6994
Fe 1.8333 2.2988 1.9403
Pt 1.0821 0.0000 2.8199
```

* total energy: -0.433 Ry/atom
* Fermi-level density of states: 3.54 states/eV/cell
* formation enthalpy at 0 K: 0.271 eV per atom
* volume: 19.99 Å³/atom
* spin magnetization: 5.86 Bohr magnetons per cell

A plane-wave DFT calculation with PBE-GGA was carried out for SrFe2Pt after structural relaxation.

Structure (extended XYZ):
```
4
Lattice="-2.1472 2.1472 3.9577 2.1472 -2.1472 3.9577 2.1472 2.1472 -3.9577" Properties=species:S:1:pos:R:3 pbc="T T T"
Sr 0.0000 0.0000 0.0000
Fe 2.1472 0.0000 1.9788
Fe 0.0000 0.0000 3.9577
Pt 0.0000 2.1472 1.9788
```

* total energy: -0.421 Ry/atom
* Fermi-level density of states: 4.98 states/eV/cell
* formation enthalpy at 0 K: 0.429 eV per atom
* volume: 18.25 Å³/atom
* spin magnetization: 5.72 Bohr magnetons per cell

A plane-wave DFT calculation with PBE-GGA was carried out for Sr2FePt after structural relaxation.

Structure (extended XYZ):
```
4
Lattice="2.0673 1.1936 8.2948 -2.0673 1.1936 8.2948 0.0000 -2.3871 8.2948" Properties=species:S:1:pos:R:3 pbc="T T T"
Sr 0.0000 0.0000 5.9767
Sr 0.0000 0.0000 18.9075
Fe 0.0000 0.0000 0.0000
Pt 0.0000 0.0000 12.4421
```

* total energy: -0.311 Ry/atom
* offset from the most stable computed form: 1.687 eV/f.u.
* Fermi-level density of states: 4.71 states/eV/cell
* formation enthalpy at 0 K: 0.230 eV per atom
* volume: 30.70 Å³/atom
* spin magnetization: 2.55 Bohr magnetons per cell

A plane-wave DFT calculation with PBE-GGA was carried out for SrFe2Pt after structural relaxation.

Structure (extended XYZ):
```
4
Lattice="2.8157 -4.6937 0.0000 2.8157 4.6937 0.0000 -1.0851 0.0000 2.6566" Properties=species:S:1:pos:R:3 pbc="T T T"
Sr 0.0000 0.0000 0.0000
Fe 0.8653 2.3468 1.3283
Fe 0.8653 -2.3468 1.3283
Pt 2.8157 0.0000 0.0000
```

* total energy: -0.417 Ry/atom
* Fermi-level density of states: 4.70 states/eV/cell
* formation enthalpy at 0 K: 0.494 eV per atom
* volume: 17.55 Å³/atom
* spin magnetization: 5.42 Bohr magnetons per cell

A plane-wave DFT calculation with PBE-GGA was carried out for SrFePt3 after structural relaxation.

Structure (extended XYZ):
```
5
Lattice="5.1514 0.0000 0.0000 0.0000 5.1514 0.0000 0.0000 0.0000 5.1514" Properties=species:S:1:pos:R:3 pbc="T T T"
Sr 0.0000 0.0000 0.0000
Fe 2.5757 2.5757 2.5757
Pt 0.0000 0.0000 2.5757
Pt 0.0000 2.5757 0.0000
Pt 2.5757 0.0000 0.0000
```

* total energy: -0.254 Ry/atom
* offset from the most stable computed form: 11.068 eV/f.u.
* Fermi-level density of states: 16.81 states/eV/cell
* formation enthalpy at 0 K: 2.202 eV per atom
* volume: 27.34 Å³/atom
* spin magnetization: 0.19 Bohr magnetons per cell

A plane-wave DFT calculation with PBE-GGA was carried out for SrFe2Pt after structural relaxation.

Structure (extended XYZ):
```
8
Lattice="-2.3172 2.3172 8.8410 2.3172 -2.3172 8.8410 2.3172 2.3172 -8.8410" Properties=species:S:1:pos:R:3 pbc="T T T"
Sr 2.3172 1.1586 2.2102
Sr 0.0000 1.1586 6.6307
Fe 0.0000 0.0000 0.0000
Fe 1.1586 1.1586 -4.4205
Fe 1.1586 -1.1586 4.4205
Fe 0.0000 2.3172 0.0000
Pt 2.3172 -1.1586 6.6307
Pt 0.0000 3.4758 2.2102
```

* total energy: -0.436 Ry/atom
* Fermi-level density of states: 8.60 states/eV/cell
* formation enthalpy at 0 K: 0.226 eV per atom
* volume: 23.74 Å³/atom
* spin magnetization: 11.56 Bohr magnetons per cell

A plane-wave DFT calculation with PBE-GGA was carried out for SrFe2Pt after structural relaxation.

Structure (extended XYZ):
```
4
Lattice="3.0845 0.0000 0.0000 0.0000 3.3164 0.0000 0.0000 0.0000 7.1787" Properties=species:S:1:pos:R:3 pbc="T T T"
Sr 0.0000 0.0000 0.0000
Fe 0.0000 0.0000 3.4847
Fe 1.5422 1.6582 2.4136
Pt 1.5422 1.6582 4.9927
```

* total energy: -0.442 Ry/atom
* Fermi-level density of states: 3.87 states/eV/cell
* formation enthalpy at 0 K: 0.153 eV per atom
* volume: 18.36 Å³/atom
* spin magnetization: 5.41 Bohr magnetons per cell